A plane-wave DFT calculation with PBE was carried out for a geometry-optimized La2BAuF structure.

Structure (POSCAR):
```
La2BAuF
1.0
5.7109 0.0000 0.0000
0.0000 4.3299 0.0000
0.0000 0.0000 5.7109
B F Au La
1 1 1 2
Direct
0.5000 0.5000 0.5000
0.0000 0.5000 0.0000
0.0000 0.0000 0.0000
0.0000 0.0000 0.5000
0.5000 0.0000 0.0000
```

Properties
Energy (eV per atom): -4.02
Symmetry: P4/mmm (123)
ΔE_f (raw) (eV per atom): 0.32
Total moment (μB/cell): 0.00